Cs3NCl3: relaxed, PBE.

Unit cell a=9.807 b=14.824 c=8.527 alpha=90.00 beta=92.08 gamma=90.00
Space group C2/m (No. 12)
Asymmetric unit:
Cs: 0.041 0.000 0.226 [4 per cell]
Cs: 0.206 0.319 0.239 [8 per cell]
N: 0.248 0.000 0.941 [4 per cell]
Cl: 0.000 0.183 0.500 [4 per cell]
Cl: 0.000 0.200 0.000 [4 per cell]
Cl: 0.145 0.500 0.898 [4 per cell]

Output
raw total energy: -3.305 eV/atom

---

CsN2Cl8: relaxed, PBE.

Unit cell a=18.714 b=6.808 c=6.323 alpha=90.00 beta=106.32 gamma=90.00
Space group C2/m (No. 12)
Asymmetric unit:
Cs: 0.000 0.000 0.000 [2 per cell]
N: 0.195 0.000 0.717 [4 per cell]
Cl: 0.070 0.500 0.004 [4 per cell]
Cl: 0.146 0.210 0.775 [8 per cell]
Cl: 0.189 0.000 0.431 [4 per cell]

Output
raw total energy: -2.877 eV/atom

---

Repeat the first record exactly.
Cs3NCl3: relaxed, PBE.

Unit cell a=9.807 b=14.824 c=8.527 alpha=90.00 beta=92.08 gamma=90.00
Space group C2/m (No. 12)
Asymmetric unit:
Cs: 0.041 0.000 0.226 [4 per cell]
Cs: 0.206 0.319 0.239 [8 per cell]
N: 0.248 0.000 0.941 [4 per cell]
Cl: 0.000 0.183 0.500 [4 per cell]
Cl: 0.000 0.200 0.000 [4 per cell]
Cl: 0.145 0.500 0.898 [4 per cell]

Output
raw total energy: -3.305 eV/atom

---

What is the formula in the first record?
Cs3NCl3

---

Among the records above, which one has the highest raw total energy?
CsN2Cl8